No. 1
Here is a geometry-optimized Hf2Sn structure from the Open Quantum Materials Database. Energies are from PBE.

As for the total magnetization: 0.00 μB/f.u. The calculation puts the total energy at -7.795 eV/atom.

The space group is Fd-3m (No. 227, origin choice 2) and the conventional cell measures 8.217, 8.217 and 8.217 Å, with angles of 90.00, 90.00 and 90.00 degrees. The distinct sites, in fractional coordinates, are Hf at (0.000, 0.000, 0.000) and Sn at (0.125, 0.125, 0.625).

No. 2
Here is a geometry-optimized LiGdSeS structure from the Open Quantum Materials Database. Energies are from PBE.

As for the total magnetization: 0.00 μB/f.u. The calculation puts the total energy at -5.306 eV/atom.

The space group is R3m (No. 160, hexagonal axes) and the conventional cell measures 4.0163, 4.0163 and 18.9704 Å, with angles of 90.00, 90.00 and 120.00 degrees. The distinct sites, in fractional coordinates, are Li at (0.0000, 0.0000, 0.0000), Gd at (0.0000, 0.0000, 0.4951), Se at (0.0000, 0.0000, 0.2522) and S at (0.0000, 0.0000, 0.7495).